DFT (PBE) results for a geometry-optimized Ca2InSn2 structure.

Values from the calculation:
**Energy above the most stable polymorph in this dataset**: 190.8 meV/atom

a b c (Å): 9.478 9.478 3.376
angles (deg): 90.00 90.00 90.00
Sites, in units of the cell vectors:
Ca 0.374 0.874 0.000
In 0.500 0.500 0.000
Sn 0.325 0.175 0.500
Sn 0.175 0.675 0.500
In 0.000 0.000 0.000
Sn 0.825 0.325 0.500
Sn 0.675 0.825 0.500
Ca 0.874 0.626 0.000
Ca 0.126 0.374 0.000
Ca 0.626 0.126 0.000

DFT (PBE) results for a geometry-optimized Ca2In2Sn5 structure.

a b c (Å): 4.858 10.150 12.174
angles (deg): 114.64 101.51 90.00
Sites, in units of the cell vectors:
Sn 0.294 0.192 0.087
Ca 0.106 0.504 0.712
In 0.500 0.398 0.500
Sn 0.985 0.648 0.500
In 0.500 0.398 0.000
In 0.500 0.898 0.500
Sn 0.294 0.692 0.087
Ca 0.894 0.293 0.288
Ca 0.894 0.793 0.288
Sn 0.015 0.148 0.500
Sn 0.706 0.105 0.913
Ca 0.106 0.004 0.712
Sn 0.399 0.044 0.292
Sn 0.393 0.544 0.292
Sn 0.601 0.753 0.708
Sn 0.607 0.253 0.708
Sn 0.706 0.605 0.913
In 0.000 0.898 0.000

DFT (PBE) results for a geometry-optimized CaIn2Sn structure.

a b c (Å): 8.736 8.736 6.925
angles (deg): 50.89 50.89 90.00
Sites, in units of the cell vectors:
In 0.875 0.914 0.750
In 0.375 0.336 0.750
In 0.664 0.125 0.250
Ca 0.500 0.500 0.000
Sn 0.000 0.000 0.000
Ca 0.250 0.750 0.500
Sn 0.750 0.250 0.500
In 0.086 0.625 0.250

DFT (PBE) results for a geometry-optimized Ca4In2Sn structure.

Values from the calculation:
**Energy above the most stable polymorph in this dataset**: 258.4 meV/atom

a b c (Å): 5.965 5.965 8.795
angles (deg): 70.18 70.18 90.00
Sites, in units of the cell vectors:
In 0.399 0.399 0.201
Ca 0.804 0.804 0.391
Ca 0.196 0.196 0.609
Ca 0.500 0.000 0.000
Ca 0.000 0.500 0.000
Sn 0.000 0.000 0.000
In 0.601 0.601 0.799

DFT (PBE) results for a geometry-optimized Ca2In2Sn structure.

Values from the calculation:
**Energy above the most stable polymorph in this dataset**: 365.5 meV/atom

a b c (Å): 4.971 4.971 7.508
angles (deg): 70.67 70.67 90.00
Sites, in units of the cell vectors:
Sn 0.000 0.000 0.000
In 0.600 0.600 0.800
Ca 0.250 0.750 0.500
Ca 0.750 0.250 0.500
In 0.400 0.400 0.200

DFT (PBE) results for a geometry-optimized CaInSn2 structure.

a b c (Å): 4.038 4.038 6.828
angles (deg): 90.00 90.00 90.00
Sites, in units of the cell vectors:
Sn 0.000 0.000 0.223
In 0.500 0.500 0.000
Ca 0.500 0.500 0.500
Sn 0.000 0.000 0.777

DFT (PBE) results for a geometry-optimized Ca4InSn2 structure.

a b c (Å): 5.397 5.397 9.301
angles (deg): 73.14 73.14 60.00
Sites, in units of the cell vectors:
Sn 0.250 0.250 0.249
Ca 0.127 0.127 0.618
Ca 0.379 0.379 0.863
In 0.000 0.000 0.000
Ca 0.873 0.873 0.382
Ca 0.621 0.621 0.137
Sn 0.750 0.750 0.751

DFT (PBE) results for a geometry-optimized CaInSn3 structure.

Values from the calculation:
**Energy above the most stable polymorph in this dataset**: 756.6 meV/atom

a b c (Å): 5.779 5.779 5.779
angles (deg): 90.00 90.00 90.00
Sites, in units of the cell vectors:
In 0.500 0.500 0.500
Sn 0.000 0.500 0.000
Sn 0.500 0.000 0.000
Sn 0.000 0.000 0.500
Ca 0.000 0.000 0.000

DFT (PBE) results for a geometry-optimized Ca2In4Sn structure.

Values from the calculation:
**Energy above the most stable polymorph in this dataset**: 0.0 meV/atom

a b c (Å): 3.397 11.130 11.130
angles (deg): 90.00 90.00 90.00
Sites, in units of the cell vectors:
In 0.500 0.427 0.829
Sn 0.000 0.500 0.500
Ca 0.000 0.827 0.173
In 0.000 0.927 0.671
Ca 0.500 0.673 0.673
In 0.000 0.671 0.927
In 0.500 0.829 0.427
Ca 0.000 0.173 0.827
In 0.000 0.329 0.073
In 0.500 0.171 0.573
In 0.500 0.573 0.171
Sn 0.500 0.000 0.000
In 0.000 0.073 0.329
Ca 0.500 0.327 0.327

DFT (PBE) results for a geometry-optimized Ca2In4Sn structure.

Values from the calculation:
**Energy above the most stable polymorph in this dataset**: 221.5 meV/atom

a b c (Å): 5.648 5.648 8.954
angles (deg): 108.38 108.38 90.00
Sites, in units of the cell vectors:
In 0.818 0.818 0.637
In 0.182 0.182 0.363
Ca 0.620 0.620 0.239
In 0.500 0.000 0.000
Ca 0.380 0.380 0.761
Sn 0.000 0.000 0.000
In 0.000 0.500 0.000

DFT (PBE) results for a geometry-optimized Ca5In4Sn structure.

a b c (Å): 3.867 3.867 19.180
angles (deg): 90.00 90.00 90.00
Sites, in units of the cell vectors:
Ca 0.500 0.500 0.699
In 0.000 0.000 0.204
Ca 0.500 0.500 0.102
Ca 0.500 0.500 0.301
In 0.000 0.000 0.600
Sn 0.000 0.000 0.000
Ca 0.500 0.500 0.500
In 0.000 0.000 0.400
In 0.000 0.000 0.796
Ca 0.500 0.500 0.898

DFT (PBE) results for a geometry-optimized CaIn2Sn2 structure.

Values from the calculation:
**Energy above the most stable polymorph in this dataset**: 75.8 meV/atom

a b c (Å): 4.513 4.513 8.003
angles (deg): 73.62 73.62 90.00
Sites, in units of the cell vectors:
In 0.250 0.750 0.500
In 0.750 0.250 0.500
Ca 0.000 0.000 0.000
Sn 0.601 0.601 0.798
Sn 0.399 0.399 0.202

| no. | calculated formation energy (eV/atom) | N(E_F) (states/eV per cell) | magnetic moment (μB per formula unit) |
| --- | --- | --- | --- |
| 1 | -0.32 | 4.4 | 0.00 |
| 2 | -0.20 | 7.3 | 0.00 |
| 3 | -0.20 | 3.1 | 0.00 |
| 4 | -0.14 | 7.3 | 0.00 |
| 5 | -0.04 | 3.2 | 0.00 |
| 6 | -0.29 | 2.4 | 0.00 |
| 7 | -0.54 | 3.7 | 0.00 |
| 8 | 0.55 | 5.6 | 0.00 |
| 9 | -0.12 | 9.8 | 0.00 |
| 10 | 0.10 | 3.2 | 0.00 |
| 11 | -0.49 | 6.3 | 0.00 |
| 12 | -0.17 | 2.8 | 0.00 |